1.
The following is a PBE-GGA calculation of Mg2Pt2Au after structural relaxation, from Alexandria via LeMat-Bulk.

The value obtained for the total magnetization is 0.00 Bohr magnetons per cell. The calculation puts the density at 10.975 g/cm3. The density of states at the Fermi level comes out at 0.49 states/eV per atom. The calculation puts the energy above the most stable polymorph in this dataset at 231 meV/atom.

It has space group I4/mmm (No. 139), with a = 3.704 Å, b = 3.704 Å, c = 14.023 Å, α = 90.00°, β = 90.00° and γ = 90.00°. Symmetry generates all atoms from Mg at (0.000, 0.000, 0.107), Pt at (0.000, 0.500, 0.250) and Au at (0.000, 0.000, 0.500).

2.
The following is a PBE-GGA calculation of Hg3HAu after structural relaxation, from Alexandria via LeMat-Bulk.

The value obtained for the total magnetization is 0.00 Bohr magnetons per cell. The calculation puts the density at 13.901 g/cm3. The density of states at the Fermi level comes out at 0.34 states/eV per atom. The calculation puts the energy above the most stable polymorph in this dataset at 346 meV/atom.

It has space group Pm-3m (No. 221), with a = 4.571 Å, b = 4.571 Å, c = 4.571 Å, α = 90.00°, β = 90.00° and γ = 90.00°. Symmetry generates all atoms from Hg at (0.000, 0.000, 0.500), H at (0.000, 0.000, 0.000) and Au at (0.500, 0.500, 0.500).

3.
The following is a PBE-GGA calculation of Tb6PrIn5 after structural relaxation, from Alexandria via LeMat-Bulk.

The value obtained for the total magnetization is 0.00 Bohr magnetons per cell. The calculation puts the density at 8.235 g/cm3. The density of states at the Fermi level comes out at 1.01 states/eV per atom. For the total energy, the calculation gives -4.239 eV per atom.

It has space group Immm (No. 71), with a = 5.027 Å, b = 8.808 Å, c = 15.198 Å, α = 90.00°, β = 90.00° and γ = 90.00°. Symmetry generates all atoms from Tb at (0.000, 0.226, 0.000), Tb at (0.000, 0.264, 0.330), Pr at (0.000, 0.000, 0.500), In at (0.000, 0.000, 0.178), In at (0.000, 0.500, 0.154) and In at (0.000, 0.500, 0.500).

4.
The following is a PBE-GGA calculation of Dy2MgZn2Cu5 after structural relaxation, from Alexandria via LeMat-Bulk.

The value obtained for the total magnetization is 0.00 Bohr magnetons per cell. The calculation puts the density at 7.753 g/cm3. The density of states at the Fermi level comes out at 0.59 states/eV per atom. For the total energy, the calculation gives -3.521 eV per atom.

It has space group P4/mbm (No. 127), with a = 9.631 Å, b = 9.631 Å, c = 3.685 Å, α = 90.00°, β = 90.00° and γ = 90.00°. Symmetry generates all atoms from Dy at (0.179, 0.321, 0.000), Mg at (0.000, 0.000, 0.000), Zn at (0.118, 0.618, 0.000), Cu at (0.000, 0.500, 0.500) and Cu at (0.051, 0.791, 0.500).